Version 1
BaMoAu: relaxed, PBE.

Cell lengths 6.486, 6.486, 6.486 Å; angles 146.66, 146.67, 47.86 degrees
Last column: magnetic moment on the atom in μB.
Sites, in units of the cell vectors:
Mo  0.615  0.615  0.000  1.98
Ba  0.336  0.336  0.000  -0.01
Au  0.049  0.049  0.000  0.13

***

Version 2
BaMoAu: relaxed, PBE.

Cell lengths 5.403, 5.403, 5.403 Å; angles 60.00, 60.00, 60.00 degrees
Last column: magnetic moment on the atom in μB.
Sites, in units of the cell vectors:
Ba  0.750  0.750  0.750  0.14
Au  0.500  0.500  0.500  0.08
Mo  0.000  0.000  0.000  3.78

***

Version 3
BaMoAu: relaxed, PBE.

Cell lengths 3.206, 3.206, 7.958 Å; angles 90.00, 90.00, 120.00 degrees
Sites, in units of the cell vectors:
Mo  0.333  0.667  0.701
Au  0.000  0.000  0.964
Ba  0.667  0.333  0.335

***

It is version 1 that is most stable; the runner-up trails by 36.9 kJ/mol of atoms.

***

Version 1
BaMoAu3: relaxed, PBE.

Cell lengths 5.179, 5.179, 5.179 Å; angles 90.00, 90.00, 90.00 degrees
Sites, in units of the cell vectors:
Au  0.000  0.000  0.500
Mo  0.000  0.000  0.000
Au  0.500  0.000  0.000
Ba  0.500  0.500  0.500
Au  0.000  0.500  0.000

***

Version 2
BaMoAu3: relaxed, PBE.

Cell lengths 5.997, 5.997, 5.997 Å; angles 90.00, 90.00, 90.00 degrees
Last column: magnetic moment on the atom in μB.
Sites, in units of the cell vectors:
Ba  0.000  0.000  0.000  0.00
Au  0.500  0.000  0.000  -0.06
Au  0.000  0.000  0.500  0.01
Mo  0.500  0.500  0.500  4.05
Au  0.000  0.500  0.000  -0.01

***

It is version 1 that is most stable; the runner-up trails by 118.7 kJ/mol of atoms.

***

Version 1
Ba6AuN2: relaxed, PBE.

Cell lengths 5.113, 8.065, 10.453 Å; angles 107.34, 90.00, 108.48 degrees
Sites, in units of the cell vectors:
Ba  0.317  0.633  0.957
N  0.222  0.443  0.148
Au  0.000  0.000  0.500
Ba  0.646  0.293  0.630
Ba  0.683  0.367  0.043
Ba  0.922  0.843  0.770
Ba  0.354  0.707  0.370
N  0.778  0.557  0.852
Ba  0.078  0.157  0.230

***

Version 2
Ba6AuN2: relaxed, PBE.

Cell lengths 4.257, 7.889, 12.583 Å; angles 114.75, 90.00, 105.65 degrees
Sites, in units of the cell vectors:
Ba  0.679  0.358  0.630
N  0.674  0.349  0.848
Ba  0.321  0.642  0.370
Au  0.000  0.000  0.500
Ba  0.685  0.371  0.070
Ba  0.034  0.067  0.772
N  0.326  0.651  0.152
Ba  0.315  0.629  0.930
Ba  0.966  0.933  0.228

***

It is version 1 that is most stable; the runner-up trails by 0.9 kJ/mol of atoms.

***

Version 1
Ba6Au2N: relaxed, PBE.

Cell lengths 4.584, 8.137, 12.220 Å; angles 75.77, 79.19, 73.64 degrees
Sites, in units of the cell vectors:
Ba  0.823  0.253  0.101
Ba  0.003  0.789  0.204
Ba  0.658  0.236  0.447
Ba  0.177  0.747  0.899
Au  0.679  0.947  0.694
Ba  0.997  0.211  0.796
N  0.000  0.000  0.000
Ba  0.342  0.764  0.553
Au  0.321  0.053  0.306

***

Version 2
Ba6Au2N: relaxed, PBE.

Cell lengths 7.692, 8.548, 11.130 Å; angles 90.00, 90.95, 90.00 degrees
Sites, in units of the cell vectors:
Ba  0.846  0.706  0.559
Au  0.455  0.107  0.249
Ba  0.876  0.966  0.267
N  0.500  0.500  0.000
Ba  0.201  0.339  0.061
Ba  0.624  0.466  0.233
Ba  0.654  0.206  0.941
Ba  0.799  0.661  0.939
Ba  0.376  0.534  0.767
Au  0.045  0.607  0.251
Au  0.955  0.393  0.749
Ba  0.701  0.161  0.561
Ba  0.346  0.794  0.059
N  0.000  0.000  0.500
Ba  0.124  0.034  0.733
Ba  0.154  0.294  0.441
Ba  0.299  0.839  0.439
Au  0.545  0.893  0.751

***

It is version 2 that is most stable; the runner-up trails by 11.4 kJ/mol of atoms.

***

Version 1
Ba8AuN2: relaxed, PBE.

Cell lengths 9.629, 11.973, 12.251 Å; angles 76.35, 66.86, 66.29 degrees
Sites, in units of the cell vectors:
Ba  0.158  0.985  0.200
Ba  0.687  0.722  0.971
Ba  0.298  0.052  0.830
Ba  0.117  0.715  0.965
Ba  0.313  0.278  0.029
N  0.342  0.351  0.474
Ba  0.380  0.778  0.529
Ba  0.797  0.785  0.535
Au  0.980  0.250  0.750
Ba  0.620  0.222  0.471
N  0.658  0.649  0.526
Au  0.020  0.750  0.250
Ba  0.203  0.215  0.465
Ba  0.702  0.948  0.170
Ba  0.842  0.015  0.800
Ba  0.820  0.552  0.330
Ba  0.883  0.285  0.035
Ba  0.342  0.515  0.300
Ba  0.658  0.485  0.700
Ba  0.180  0.448  0.670
N  0.167  0.149  0.026
N  0.833  0.851  0.974

***

Version 2
Ba8AuN2: relaxed, PBE.

Cell lengths 7.548, 9.431, 9.431 Å; angles 63.22, 87.28, 87.28 degrees
Sites, in units of the cell vectors:
N  0.356  0.176  0.176
Au  0.000  0.000  0.000
N  0.644  0.824  0.824
Ba  0.248  0.894  0.314
Ba  0.306  0.837  0.837
Ba  0.749  0.675  0.675
Ba  0.694  0.163  0.163
Ba  0.251  0.325  0.325
Ba  0.248  0.314  0.894
Ba  0.752  0.686  0.106
Ba  0.752  0.106  0.686

***

It is version 2 that is most stable; the runner-up trails by 0.5 kJ/mol of atoms.

***

Version 1
BaAuSN2: relaxed, PBE.

Cell lengths 4.602, 4.602, 6.330 Å; angles 90.00, 90.00, 90.00 degrees
Last column: magnetic moment on the atom in μB.
Sites, in units of the cell vectors:
N  0.500  0.000  0.000  0.83
Ba  0.000  0.000  0.000  -0.04
Au  0.500  0.500  0.500  0.06
N  0.000  0.500  0.000  0.83
S  0.000  0.000  0.500  0.21

***

Version 2
BaAuSN2: relaxed, PBE.

Cell lengths 4.342, 4.342, 5.183 Å; angles 90.00, 90.00, 90.00 degrees
Last column: magnetic moment on the atom in μB.
Sites, in units of the cell vectors:
S  0.000  0.000  0.500  0.10
Ba  0.500  0.500  0.500  0.00
Au  0.000  0.000  0.000  0.14
N  0.500  0.000  0.000  0.84
N  0.000  0.500  0.000  0.84

***

It is version 2 that is most stable; the runner-up trails by 114.4 kJ/mol of atoms.